[1]
A plane-wave DFT calculation with PBEsol was carried out for Cr2Si2Sb after structural relaxation.

Geometry as POSCAR:
```
Cr2Si2Sb
1.0
-1.6882 1.6882 6.2246
1.6882 -1.6882 6.2246
1.6882 1.6882 -6.2246
Cr Si Sb
2 2 1
Cartesian
0.0000 0.0000 1.3750
0.0000 0.0000 11.0742
1.6882 0.0000 3.1123
0.0000 1.6882 3.1123
0.0000 0.0000 6.2246
```

Calculated values
ρ: 6.6 g/cm3
Space group: I4/mmm, No. 139



[2]
A plane-wave DFT calculation with PBEsol was carried out for CrSiSb2 after structural relaxation.

Geometry as POSCAR:
```
CrSiSb2
1.0
3.1385 0.0000 0.0000
0.0000 3.1385 0.0000
0.0000 0.0000 7.7905
Cr Si Sb
1 1 2
Cartesian
0.0000 0.0000 0.0000
1.5692 1.5692 6.8433
0.0000 0.0000 4.9511
1.5692 1.5692 1.8348
```

Calculated values
ρ: 7.0 g/cm3
Space group: P4mm, No. 99



[3]
A plane-wave DFT calculation with PBEsol was carried out for SmCrSb3 after structural relaxation.

Geometry as POSCAR:
```
SmCrSb3
1.0
12.7560 0.0000 0.0000
0.0000 6.1514 0.0000
0.0000 0.0000 5.9388
Sm Cr Sb
4 4 12
Cartesian
2.4452 0.0231 1.4847
2.4452 3.0525 4.4541
10.3108 3.0988 1.4847
10.3108 6.1282 4.4541
5.1659 4.6135 0.0000
5.1659 4.6135 2.9694
7.5901 1.5378 0.0000
7.5901 1.5378 2.9694
0.0234 4.6135 0.0000
0.0234 4.6135 2.9694
3.5508 0.0119 4.4541
3.5508 3.0638 1.4847
5.5782 0.6226 1.4847
5.5782 2.4531 4.4541
7.1778 3.6983 1.4847
7.1778 5.5287 4.4541
9.2053 3.0876 4.4541
9.2053 6.1395 1.4847
12.7327 1.5378 0.0000
12.7327 1.5378 2.9694
```

Calculated values
ρ: 8.1 g/cm3
Space group: Pbcm, No. 57



[4]
A plane-wave DFT calculation with PBEsol was carried out for SrCrSb2 after structural relaxation.

Geometry as POSCAR:
```
SrCrSb2
1.0
3.6258 0.0000 0.0000
0.0000 4.1536 0.0000
-1.6001 0.0000 6.9083
Sr Cr Sb
1 1 2
Cartesian
0.0000 0.0000 0.0000
1.0128 0.0000 3.4541
0.0089 2.0768 4.8898
2.0168 2.0768 2.0184
```

Calculated values
ρ: 6.1 g/cm3
Excess energy over the best structure of this formula in the dataset: 2 meV per atom
Space group: P2/m, No. 10



[5]
A plane-wave DFT calculation with PBEsol was carried out for SrCrSb after structural relaxation.

Geometry as POSCAR:
```
SrCrSb
1.0
-1.8550 1.8550 5.7286
1.8550 -1.8550 5.7286
1.8550 1.8550 -5.7286
Sr Cr Sb
1 1 1
Cartesian
0.0000 0.0000 0.0000
0.0000 0.0000 8.2187
0.0000 0.0000 3.4006
```

Calculated values
ρ: 5.5 g/cm3
Space group: I4mm, No. 107



[6]
A plane-wave DFT calculation with PBEsol was carried out for SrCrSb2 after structural relaxation.

Geometry as POSCAR:
```
SrCrSb2
1.0
3.7777 0.0000 0.0000
0.0000 3.7777 0.0000
0.0000 0.0000 7.5732
Sr Cr Sb
1 1 2
Cartesian
0.0000 0.0000 0.0000
1.8888 1.8888 2.8791
0.0000 0.0000 3.2848
1.8888 1.8888 5.5915
```

Calculated values
ρ: 5.9 g/cm3
Excess energy over the best structure of this formula in the dataset: 132 meV per atom
Space group: P4mm, No. 99



| no. | Fermi-level density of states (states/eV/atom) | total magnetic moment (Bohr magnetons per cell) | uncorrected formation energy (eV per atom) |
| --- | --- | --- | --- |
| 1 | 0.841 | 0.38 | -0.078 |
| 2 | 0.664 | 0.35 | 0.079 |
| 3 | 0.544 | 7.88 | -0.479 |
| 4 | 0.521 | 3.44 | -0.126 |
| 5 | 0.766 | 3.41 | 0.083 |
| 6 | 0.514 | 3.16 | 0.003 |